The following is a DFT calculation (GGA-PBE) of LaRhSe2 after structural relaxation.

Total magnetic moment (μB per atom): 0.40
Polymorph energy (0 for the lowest one) (eV/f.u.): 2.22
Space-group type: P4/mmm (123)
Volume (Å³/f.u.): 86.6

Lattice parameters (Å, degrees): 3.5614 3.5614 6.8277 90.00 90.00 90.00
Closest atoms and distances in Å follow each position.
Fractional coordinates of all 4 atoms:
La 0.0000 0.0000 0.0000  8 Se 3.12, 2 Rh 3.41
Rh 0.0000 0.0000 0.5000  8 Se 2.97
Se 0.5000 0.5000 0.2708  4 Rh 2.97, 4 La 3.12, 1 Se 3.13
Se 0.5000 0.5000 0.7292  4 Rh 2.97, 4 La 3.12, 1 Se 3.13